A plane-wave DFT calculation with PBE was carried out for a relaxed structure of HfAlCd2Co.

Lattice parameters (Å, degrees): 4.9130 4.5701 4.9130 90.00 90.00 90.00
Atoms (fractional coordinates):
Co1 0.0000 0.0000 0.0000
Hf1 0.0000 0.5000 0.0000
Al1 0.5000 0.5000 0.5000
Cd1 0.0000 0.0000 0.5000
Cd2 0.5000 0.0000 0.0000

Properties
**Crystal system**: tetragonal
**Energy of formation from the pure elements**: 0.39 eV/atom
**Volume**: 22.1 A^3/atom
**Total DFT energy (no corrections)**: -4.136 eV per atom
**Density**: 7.364 g/cm3

***

A plane-wave DFT calculation with PBE was carried out for a relaxed structure of InOs2Au.

Lattice parameters (Å, degrees): 2.8846 2.8846 8.0936 90.00 90.00 90.00
Atoms (fractional coordinates):
Au1 0.0000 0.0000 0.4865
In1 0.5000 0.5000 0.7644
Os1 0.0000 0.0000 0.0253
Os2 0.5000 0.5000 0.2238

Properties
**Crystal system**: tetragonal
**Energy of formation from the pure elements**: 0.25 eV/atom
**Volume**: 16.8 A^3/atom
**Total DFT energy (no corrections)**: -6.870 eV per atom
**Density**: 17.068 g/cm3

***

> Which value of density does entry 1 give?

7.364 g/cm3

***

> volume of number 2 (InOs2Au)?

16.8 A^3/atom

***

> Which of these has the lowest volume?

InOs2Au

***

> volume of number 1 (HfAlCd2Co)?

22.1 A^3/atom